# 1
Below is a relaxed BaYMo2 crystal, with properties calculated at the GGA-PBEsol level.

Summary:
excess energy over the best structure of this formula in the dataset: 0.000 eV per formula unit
formation energy from the elements: 42.6 kJ per mole of atoms

Unit cell a=3.288 b=3.288 c=9.177 alpha=90.00 beta=90.00 gamma=90.00
Fractional coordinates of all 4 atoms:
Y1 0.000 0.000 0.418
Mo1 0.500 0.500 0.209
Mo2 0.000 0.000 0.074
Ba1 0.500 0.500 0.799


# 2
Below is a relaxed ErH2ClO2 crystal, with properties calculated at the GGA-PBEsol level.

Summary:
final energy: -6.16 eV/atom

Unit cell a=3.514 b=6.142 c=6.455 alpha=104.64 beta=90.00 gamma=90.00
Fractional coordinates of all 12 atoms:
H1 0.250 0.628 0.312
H2 0.250 0.127 0.758
H3 0.750 0.372 0.688
H4 0.750 0.873 0.242
Er1 0.750 0.279 0.107
Er2 0.250 0.721 0.893
O1 0.750 0.896 0.097
O2 0.250 0.104 0.903
O3 0.250 0.541 0.161
O4 0.750 0.459 0.839
Cl1 0.250 0.228 0.430
Cl2 0.750 0.772 0.570


# 3
Below is a relaxed FeReRh2 crystal, with properties calculated at the GGA-PBEsol level.

Summary:
excess energy over the best structure of this formula in the dataset: 0.051 eV per formula unit
formation energy from the elements: -5.9 kJ per mole of atoms

Unit cell a=3.745 b=3.745 c=4.585 alpha=114.10 beta=114.10 gamma=90.00
Each line ends with the local moment (μB).
Fractional coordinates of all 4 atoms:
Rh1 0.750 0.250 0.500  0.10
Rh2 0.250 0.750 0.500  0.10
Fe1 0.000 0.000 0.000  2.36
Re1 0.500 0.500 0.000  -0.25


# 4
Below is a relaxed NiIr crystal, with properties calculated at the GGA-PBEsol level.

Summary:
formation energy from the elements: 9.6 kJ per mole of atoms

Unit cell a=2.660 b=2.660 c=8.157 alpha=90.00 beta=90.00 gamma=120.00
Each line ends with the local moment (μB).
Fractional coordinates of all 4 atoms:
Ni1 0.333 0.667 0.383  0.09
Ni2 0.667 0.333 0.617  0.09
Ir1 0.667 0.333 0.135  0.01
Ir2 0.333 0.667 0.865  0.01


# 5
Below is a relaxed Sc3CdTe crystal, with properties calculated at the GGA-PBEsol level.

Summary:
formation energy from raw total energies: 0.09 eV/f.u.

Unit cell a=5.218 b=5.218 c=5.218 alpha=90.00 beta=90.00 gamma=90.00
Fractional coordinates of all 5 atoms:
Sc1 0.000 0.500 0.000
Sc2 0.500 0.000 0.000
Sc3 0.000 0.000 0.500
Te1 0.000 0.000 0.000
Cd1 0.500 0.500 0.500


# 6
Below is a relaxed Al2CuH crystal, with properties calculated at the GGA-PBEsol level.

Summary:
final energy: -3.58 eV/atom

Unit cell a=4.579 b=4.579 c=6.266 alpha=111.43 beta=111.43 gamma=90.00
Fractional coordinates of all 8 atoms:
Cu1 0.250 0.750 0.500
Cu2 0.000 0.000 0.000
Al1 0.770 0.375 0.250
Al2 0.625 0.520 0.750
Al3 0.125 0.230 0.750
Al4 0.480 0.875 0.250
H1 0.500 0.500 0.000
H2 0.750 0.250 0.500


# 7
Below is a relaxed La3W crystal, with properties calculated at the GGA-PBEsol level.

Summary:
formation energy from the elements: 57.1 kJ per mole of atoms

Unit cell a=3.509 b=3.509 c=10.483 alpha=80.36 beta=80.36 gamma=60.00
Fractional coordinates of all 4 atoms:
La1 0.000 0.000 0.000
La2 0.764 0.764 0.709
La3 0.236 0.236 0.291
W1 0.500 0.500 0.500


# 8
Below is a relaxed CuSbPb crystal, with properties calculated at the GGA-PBEsol level.

Summary:
excess energy over the best structure of this formula in the dataset: 0.036 eV per formula unit
formation energy from raw total energies: 0.27 eV/f.u.

Unit cell a=4.649 b=4.649 c=4.649 alpha=60.00 beta=60.00 gamma=60.00
Fractional coordinates of all 3 atoms:
Cu1 0.250 0.250 0.250
Pb1 0.000 0.000 0.000
Sb1 0.500 0.500 0.500


# 9
Below is a relaxed CsRe3Rh crystal, with properties calculated at the GGA-PBEsol level.

Summary:
formation energy from the elements: 250.7 kJ per mole of atoms

Unit cell a=4.803 b=4.803 c=4.803 alpha=90.00 beta=90.00 gamma=90.00
Each line ends with the local moment (μB).
Fractional coordinates of all 5 atoms:
Re1 0.000 0.000 0.500  0.86
Re2 0.000 0.500 0.000  0.86
Re3 0.500 0.000 0.000  0.86
Rh1 0.000 0.000 0.000  -0.03
Cs1 0.500 0.500 0.500  0.08


# 10
Below is a relaxed BaFe2Ir crystal, with properties calculated at the GGA-PBEsol level.

Summary:
formation energy from the elements: 51.0 kJ per mole of atoms

Unit cell a=3.232 b=3.232 c=7.224 alpha=90.00 beta=90.00 gamma=90.00
Each line ends with the local moment (μB).
Fractional coordinates of all 4 atoms:
Ir1 0.500 0.500 0.000  0.38
Ba1 0.500 0.500 0.500  -0.12
Fe1 0.000 0.000 0.846  2.51
Fe2 0.000 0.000 0.154  2.51


# 11
Below is a relaxed AlPdOF2 crystal, with properties calculated at the GGA-PBEsol level.

Summary:
formation energy from raw total energies: -9.45 eV/f.u.

Unit cell a=3.670 b=3.670 c=3.805 alpha=90.00 beta=90.00 gamma=90.00
Each line ends with the local moment (μB).
Fractional coordinates of all 5 atoms:
Al1 0.000 0.000 0.000  0.00
F1 0.000 0.500 0.000  0.01
F2 0.500 0.000 0.000  0.01
O1 0.000 0.000 0.500  0.07
Pd1 0.500 0.500 0.500  0.37


# 12
Below is a relaxed KRb2BeRe crystal, with properties calculated at the GGA-PBEsol level.

Summary:
formation energy from the elements: 198.3 kJ per mole of atoms

Unit cell a=6.241 b=6.413 c=6.413 alpha=90.00 beta=90.00 gamma=90.00
Each line ends with the local moment (μB).
Fractional coordinates of all 5 atoms:
Be1 0.500 0.500 0.500  -0.09
K1 0.500 0.000 0.000  0.00
Rb1 0.000 0.000 0.500  0.00
Rb2 0.000 0.500 0.000  0.00
Re1 0.000 0.000 0.000  2.62


M_tot (computed, μB per atom): 0.000 0.000 0.572 0.048 0.000 0.000 0.000 0.000 0.609 1.325 0.092 0.436